First-principles (PBE) data for crystalline AcH2BrO2 at its relaxed geometry, as listed in the Alexandria database.

The structure in extended XYZ format:
```
12
Lattice="4.376 0.000 0.000 0.000 8.431 -0.371 0.000 -3.686 6.682" Properties=species:S:1:pos:R:3 pbc="T T T"
Br 3.282 2.268 6.103
Br 1.094 2.477 0.208
H 1.873 3.307 4.449
H 2.503 1.438 1.862
H 0.315 3.307 4.449
H 4.062 1.438 1.862
Ac 1.094 5.383 2.007
Ac 3.282 -0.638 4.304
O 3.282 5.640 2.932
O 1.094 -0.895 3.380
O 1.094 3.546 3.899
O 3.282 1.199 2.412
```

Computed properties:
Energy ... -5.6583 eV/atom
Symmetry ... P2_1/m
Total magnetization ... 0.000 μB per atom
D(E_F) ... 0.0 states/eV/cell



First-principles (PBE) data for crystalline GdLuMgCr at its relaxed geometry, as listed in the Alexandria database.

The structure in extended XYZ format:
```
4
Lattice="5.161 0.000 0.000 2.580 4.470 0.000 2.580 1.490 4.214" Properties=species:S:1:pos:R:3 pbc="T T T"
Gd 7.741 4.470 3.160
Lu 2.580 1.490 1.053
Cr 5.161 2.980 2.107
Mg 0.000 0.000 0.000
```

Computed properties:
Energy ... -7.3220 eV/atom
Symmetry ... F-43m
Total magnetization ... 0.905 μB per atom
Energy relative to the elements ... 0.13 eV per atom
D(E_F) ... 2.4 states/eV/cell



First-principles (PBE) data for crystalline BiOs2C at its relaxed geometry, as listed in the Alexandria database.

The structure in extended XYZ format:
```
4
Lattice="0.000 3.127 3.127 3.127 0.000 3.127 3.127 3.127 0.000" Properties=species:S:1:pos:R:3 pbc="T T T"
Os 4.690 4.690 4.690
Os 1.563 1.563 1.563
C 0.000 0.000 0.000
Bi 3.127 3.127 3.127
```

Computed properties:
Energy ... -6.8596 eV/atom
Symmetry ... Fm-3m
Energy relative to the lowest polymorph listed for this composition ... 1.0752 eV per atom
Total magnetization ... 0.000 μB per atom
Energy relative to the elements ... 2.03 eV per atom
D(E_F) ... 1.6 states/eV/cell



First-principles (PBE) data for crystalline La2Cu5Pt5 at its relaxed geometry, as listed in the Alexandria database.

The structure in extended XYZ format:
```
12
Lattice="-2.069 3.433 -1.699 -1.605 -2.940 -3.985 -7.646 -2.259 4.746" Properties=species:S:1:pos:R:3 pbc="T T T"
Pt -3.362 -2.226 -0.404
Pt -1.035 1.716 -0.850
Pt -5.889 -2.973 1.165
Pt -1.354 -0.400 0.840
Pt -6.292 -1.859 3.906
La -0.802 -1.470 -1.992
La -3.823 -1.130 2.373
Cu -4.188 -1.063 -2.623
Cu -5.660 -0.883 -0.469
Cu -3.389 0.402 -0.638
Cu -7.931 -2.168 -0.300
Cu -7.132 -0.704 1.685
```

Computed properties:
Energy ... -5.6532 eV/atom
Symmetry ... Pmmm
Total magnetization ... 0.000 μB per atom
Energy relative to the elements ... -0.61 eV per atom
D(E_F) ... 3.1 states/eV/cell



First-principles (PBE) data for crystalline MgTc2Os at its relaxed geometry, as listed in the Alexandria database.

The structure in extended XYZ format:
```
4
Lattice="4.982 0.000 0.000 2.152 4.493 0.000 -3.567 -2.247 2.655" Properties=species:S:1:pos:R:3 pbc="T T T"
Os 2.491 0.000 1.328
Tc 0.000 0.000 0.000
Tc 3.567 2.247 0.000
Mg 1.076 2.247 1.328
```

Computed properties:
Energy ... -8.0968 eV/atom
Symmetry ... I4/mmm
Total magnetization ... 0.000 μB per atom
Energy relative to the elements ... 0.29 eV per atom
D(E_F) ... 4.3 states/eV/cell



First-principles (PBE) data for crystalline CrCoHg2 at its relaxed geometry, as listed in the Alexandria database.

The structure in extended XYZ format:
```
4
Lattice="4.775 0.009 -0.007 3.785 2.911 -0.007 1.010 0.344 5.127" Properties=species:S:1:pos:R:3 pbc="T T T"
Cr 2.393 0.816 1.278
Co 7.178 2.448 3.834
Hg 1.032 0.352 5.082
Hg 4.763 1.625 2.602
```

Computed properties:
Energy ... -3.7465 eV/atom
Symmetry ... C2/m
Energy relative to the lowest polymorph listed for this composition ... 0.2196 eV per atom
Total magnetization ... 1.276 μB per atom
Energy relative to the elements ... 0.59 eV per atom
D(E_F) ... 4.0 states/eV/cell



> Look up the D(E_F) of the first one.

0.0 states/eV/cell